Record 1
Entry from the Alexandria database: NaCoP2 at its PBEsol-relaxed geometry (SCAN).

Output
formation energy from the elements = -0.030 eV/atom
total energy = -169.7 eV for the cell shown

Cell lengths 6.210, 6.210, 8.519 Å; angles 90.00, 90.00, 90.00 degrees
Space group I-42d (No. 122)
Inequivalent atoms, fractional coordinates:
Na1 0.000 0.000 0.000 [4 per cell]
Co1 0.000 0.000 0.500 [4 per cell]
P1 0.141 0.250 0.625 [8 per cell]

Record 2
Entry from the Alexandria database: Zr3Te at its PBEsol-relaxed geometry (SCAN).

Output
total energy = -130.9 eV for the cell shown
ΔE_f (raw) = -154 kJ/mol of formula units

Cell lengths 4.385, 4.385, 4.385 Å; angles 90.00, 90.00, 90.00 degrees
Space group Pm-3m (No. 221)
Inequivalent atoms, fractional coordinates:
Zr1 0.000 0.000 0.500 [3 per cell]
Te1 0.500 0.500 0.500 [1 per cell]

Record 3
Entry from the Alexandria database: Ca2Mg at its PBEsol-relaxed geometry (SCAN).

Output
formation energy from the elements = -0.025 eV/atom
total energy = -97.5 eV for the cell shown

Cell lengths 3.898, 17.913, 5.812 Å; angles 90.00, 90.00, 90.00 degrees
Space group Cmcm (No. 63)
Inequivalent atoms, fractional coordinates:
Ca1 0.000 0.084 0.250 [4 per cell]
Ca2 0.000 0.224 0.750 [4 per cell]
Mg1 0.000 0.430 0.250 [4 per cell]

Record 4
Entry from the Alexandria database: ReAg2H2 at its PBEsol-relaxed geometry (SCAN).

Output
total energy = -271.7 eV for the cell shown

Cell lengths 4.600, 4.600, 5.784 Å; angles 90.00, 90.00, 90.00 degrees
Space group I4/mmm (No. 139)
Inequivalent atoms, fractional coordinates:
Re1 0.000 0.000 0.000 [2 per cell]
Ag1 0.000 0.500 0.250 [4 per cell]
H1 0.000 0.000 0.305 [4 per cell]